! GGA-PBE LaRhPb2O6, optimized geometry; values from VASP
&SYSTEM
  ibrav = 0, nat = 20, ntyp = 4
/
ATOMIC_SPECIES
La 138.91 La.upf
Rh 102.91 Rh.upf
Pb 207.20 Pb.upf
O 16.00 O.upf
CELL_PARAMETERS angstrom
-1.535 -5.409 1.847
2.913 0.930 5.146
-7.025 3.098 3.417
ATOMIC_POSITIONS crystal
La 0.500 0.000 0.000
La 0.000 0.500 0.500
Rh 0.500 0.000 0.500
Rh 0.000 0.500 0.000
Pb 0.008 0.958 0.245
Pb 0.508 0.542 0.745
Pb 0.992 0.042 0.755
Pb 0.492 0.458 0.255
O 0.274 0.678 0.059
O 0.774 0.822 0.559
O 0.726 0.322 0.941
O 0.226 0.178 0.441
O 0.337 0.713 0.450
O 0.837 0.787 0.950
O 0.663 0.287 0.550
O 0.163 0.213 0.050
O 0.889 0.535 0.226
O 0.389 0.965 0.726
O 0.111 0.465 0.774
O 0.611 0.035 0.274
! Calculated volume = 297.7 Å³/cell
! Raw formation energy = -1.492 eV per atom
! Uncorrected energy = -6.436 eV/atom

! GGA-PBE Ac8Ru3Rh, optimized geometry; values from VASP
&SYSTEM
  ibrav = 0, nat = 12, ntyp = 3
/
ATOMIC_SPECIES
Ac 227.00 Ac.upf
Ru 101.07 Ru.upf
Rh 102.91 Rh.upf
CELL_PARAMETERS angstrom
8.714 -0.001 0.001
-4.358 6.221 -4.264
0.001 -0.445 8.251
ATOMIC_POSITIONS crystal
Ac 0.254 0.508 0.762
Ac 0.746 0.492 0.238
Ac 0.259 0.011 0.763
Ac 0.752 0.011 0.763
Ac 0.752 0.504 0.764
Ac 0.248 0.496 0.236
Ac 0.248 0.989 0.237
Ac 0.741 0.989 0.237
Ru 0.500 0.000 0.000
Ru 0.500 0.500 0.000
Ru 0.000 0.500 0.000
Rh 0.000 0.000 0.000
! Calculated volume = 430.7 Å³/cell
! Uncorrected energy = -5.957 eV/atom
! DFT formation energy = -3.443 eV/f.u.

! GGA-PBE TaBeTl3, optimized geometry; values from VASP
&SYSTEM
  ibrav = 0, nat = 5, ntyp = 3
/
ATOMIC_SPECIES
Be 9.01 Be.upf
Tl 204.38 Tl.upf
Ta 180.95 Ta.upf
CELL_PARAMETERS angstrom
-3.859 -0.481 2.944
-1.793 -3.474 -2.917
2.385 -3.390 2.571
ATOMIC_POSITIONS crystal
Be 0.000 0.000 0.000
Tl 0.000 0.500 0.000
Tl 0.000 0.000 0.500
Tl 0.500 0.000 0.000
Ta 0.500 0.500 0.500
! Offset from the most stable computed form = 0 meV per atom
! Calculated volume = 116.0 Å³/cell
! Uncorrected energy = -3.347 eV/atom
! DFT formation energy = 5.944 eV/f.u.